Record 1
VASP calculation (PBE) on crystalline MgTl6Te4 at its relaxed geometry. Values from VASP.

E (eV/f.u.): -32.7
E_form (uncorrected) (eV/atom): -0.390

Geometry as Quantum ESPRESSO input:
```
&SYSTEM
  ibrav = 0, nat = 22, ntyp = 3
/
ATOMIC_SPECIES
Mg 24.30 Mg.upf
Tl 204.38 Tl.upf
Te 127.60 Te.upf
CELL_PARAMETERS angstrom
-2.391 6.925 -1.683
-2.388 -3.358 -10.426
-7.775 -0.730 8.044
ATOMIC_POSITIONS crystal
Mg 0.769 0.333 0.667
Mg 0.269 0.667 0.333
Tl 0.435 0.686 0.843
Tl 0.435 0.157 0.314
Tl 0.435 0.157 0.843
Tl 0.935 0.314 0.157
Tl 0.935 0.843 0.686
Tl 0.935 0.843 0.157
Tl 0.634 0.953 0.477
Tl 0.634 0.523 0.047
Tl 0.634 0.523 0.477
Tl 0.134 0.047 0.523
Tl 0.134 0.477 0.953
Tl 0.134 0.477 0.523
Te 0.391 0.333 0.667
Te 0.891 0.667 0.333
Te 0.875 0.615 0.808
Te 0.875 0.192 0.385
Te 0.875 0.192 0.808
Te 0.375 0.385 0.192
Te 0.375 0.808 0.615
Te 0.375 0.808 0.192
```

Record 2
VASP calculation (PBE) on crystalline AlSi2Ni at its relaxed geometry. Values from VASP.

E (eV/f.u.): -20.6
E_form (uncorrected) (eV/atom): -0.053

Geometry as Quantum ESPRESSO input:
```
&SYSTEM
  ibrav = 0, nat = 4, ntyp = 3
/
ATOMIC_SPECIES
Ni 58.69 Ni.upf
Si 28.09 Si.upf
Al 26.98 Al.upf
CELL_PARAMETERS angstrom
7.512 -0.060 -0.035
6.955 2.840 -0.035
6.955 1.337 2.506
ATOMIC_POSITIONS crystal
Ni 0.745 0.745 0.745
Si 0.004 0.004 0.004
Si 0.255 0.255 0.255
Al 0.495 0.495 0.495
```

Record 3
VASP calculation (PBE) on crystalline In2ReAgPt at its relaxed geometry. Values from VASP.

DFT formation energy (kJ per mole of atoms): 149.3
E (eV/f.u.): -19.1

Geometry as Quantum ESPRESSO input:
```
&SYSTEM
  ibrav = 0, nat = 5, ntyp = 4
/
ATOMIC_SPECIES
Re 186.21 Re.upf
Ag 107.87 Ag.upf
Pt 195.08 Pt.upf
In 114.82 In.upf
CELL_PARAMETERS angstrom
-0.859 4.625 -1.753
-2.177 -1.959 -4.102
-4.445 0.059 2.331
ATOMIC_POSITIONS crystal
Re 0.500 0.500 0.500
Ag 0.000 0.000 0.000
Pt 0.000 0.500 0.000
In 0.000 0.000 0.500
In 0.500 0.000 0.000
```

Record 4
VASP calculation (PBE) on crystalline KNaPd4 at its relaxed geometry. Values from VASP.

DFT formation energy (kJ per mole of atoms): -7.1
E (eV/f.u.): -23.6

Geometry as Quantum ESPRESSO input:
```
&SYSTEM
  ibrav = 0, nat = 6, ntyp = 3
/
ATOMIC_SPECIES
Na 22.99 Na.upf
K 39.10 K.upf
Pd 106.42 Pd.upf
CELL_PARAMETERS angstrom
-3.841 -3.859 -0.788
0.270 -3.292 -4.400
1.275 -5.316 0.616
ATOMIC_POSITIONS crystal
Na 0.000 0.000 0.000
K 0.250 0.250 0.250
Pd 0.625 0.625 0.124
Pd 0.625 0.124 0.625
Pd 0.625 0.625 0.625
Pd 0.124 0.625 0.625
```

Record 5
VASP calculation (PBE) on crystalline BaLaOs2 at its relaxed geometry. Values from VASP.

DFT formation energy (kJ per mole of atoms): 9.1
E (eV/f.u.): -28.9

Geometry as Quantum ESPRESSO input:
```
&SYSTEM
  ibrav = 0, nat = 4, ntyp = 3
/
ATOMIC_SPECIES
Os 190.23 Os.upf
Ba 137.33 Ba.upf
La 138.91 La.upf
CELL_PARAMETERS angstrom
-3.899 1.862 0.415
-3.641 -2.305 -0.522
-2.505 -1.947 7.968
ATOMIC_POSITIONS crystal
Os 0.964 0.964 0.120
Os 0.295 0.295 0.100
Ba 0.534 0.534 0.400
La 0.706 0.706 0.880
```

Record 6
VASP calculation (PBE) on crystalline GdTmAgPd at its relaxed geometry. Values from VASP.

DFT formation energy (kJ per mole of atoms): -56.3
E (eV/f.u.): -28.9

Geometry as Quantum ESPRESSO input:
```
&SYSTEM
  ibrav = 0, nat = 4, ntyp = 4
/
ATOMIC_SPECIES
Gd 157.25 Gd.upf
Tm 168.93 Tm.upf
Pd 106.42 Pd.upf
Ag 107.87 Ag.upf
CELL_PARAMETERS angstrom
5.043 0.000 0.000
2.522 4.368 0.000
2.522 1.456 4.118
ATOMIC_POSITIONS crystal
Gd 0.000 0.000 0.000
Tm 0.500 0.500 0.500
Pd 0.750 0.750 0.750
Ag 0.250 0.250 0.250
```

Record 7
VASP calculation (PBE) on crystalline MnHPd3 at its relaxed geometry. Values from VASP.

E (eV/f.u.): -27.6

Geometry as Quantum ESPRESSO input:
```
&SYSTEM
  ibrav = 0, nat = 10, ntyp = 3
/
ATOMIC_SPECIES
H 1.01 H.upf
Mn 54.94 Mn.upf
Pd 106.42 Pd.upf
CELL_PARAMETERS angstrom
5.018 -0.008 -0.008
0.788 5.404 0.009
1.896 -1.007 4.536
ATOMIC_POSITIONS crystal
H 0.239 0.253 0.890
H 0.530 0.253 0.182
Mn 0.014 0.378 0.406
Mn 0.679 0.370 0.741
Pd 0.488 0.846 0.933
Pd 0.970 0.854 0.450
Pd 0.520 0.572 0.350
Pd 0.417 0.092 0.496
Pd 0.070 0.572 0.900
Pd 0.924 0.092 0.003
```

Record 8
VASP calculation (PBE) on crystalline YGa2Ni2 at its relaxed geometry. Values from VASP.

DFT formation energy (kJ per mole of atoms): -52.7
E (eV/f.u.): -26.8

Geometry as Quantum ESPRESSO input:
```
&SYSTEM
  ibrav = 0, nat = 5, ntyp = 3
/
ATOMIC_SPECIES
Y 88.91 Y.upf
Ni 58.69 Ni.upf
Ga 69.72 Ga.upf
CELL_PARAMETERS angstrom
4.062 0.000 0.000
0.000 4.062 0.000
2.031 2.031 4.996
ATOMIC_POSITIONS crystal
Y 0.000 0.000 0.000
Ni 0.384 0.384 0.233
Ni 0.616 0.616 0.767
Ga 0.750 0.250 0.500
Ga 0.250 0.750 0.500
```

Record 9
VASP calculation (PBE) on crystalline Cs2NaSnI5 at its relaxed geometry. Values from VASP.

E (eV/f.u.): -25.0
E_form (uncorrected) (eV/atom): -1.133

Geometry as Quantum ESPRESSO input:
```
&SYSTEM
  ibrav = 0, nat = 18, ntyp = 4
/
ATOMIC_SPECIES
Cs 132.91 Cs.upf
Na 22.99 Na.upf
Sn 118.71 Sn.upf
I 126.90 I.upf
CELL_PARAMETERS angstrom
4.951 0.000 0.000
-2.475 11.115 0.000
0.000 0.000 16.374
ATOMIC_POSITIONS crystal
Cs 0.869 0.739 0.799
Cs 0.094 0.188 0.664
Cs 0.131 0.261 0.299
Cs 0.906 0.812 0.164
Na 0.564 0.128 0.950
Na 0.436 0.872 0.450
Sn 0.781 0.561 0.523
Sn 0.219 0.439 0.023
I 0.357 0.714 0.991
I 0.701 0.402 0.894
I 0.502 0.003 0.788
I 0.269 0.538 0.654
I 0.928 0.857 0.560
I 0.643 0.286 0.491
I 0.299 0.598 0.394
I 0.498 0.997 0.288
I 0.731 0.462 0.154
I 0.072 0.143 0.060
```

Record 10
VASP calculation (PBE) on crystalline RbAgHg3 at its relaxed geometry. Values from VASP.

DFT formation energy (kJ per mole of atoms): -11.2
E (eV/f.u.): -5.3

Geometry as Quantum ESPRESSO input:
```
&SYSTEM
  ibrav = 0, nat = 10, ntyp = 3
/
ATOMIC_SPECIES
Rb 85.47 Rb.upf
Ag 107.87 Ag.upf
Hg 200.59 Hg.upf
CELL_PARAMETERS angstrom
-2.178 -4.953 -2.494
-1.222 -2.896 6.792
-6.839 1.463 3.477
ATOMIC_POSITIONS crystal
Rb 0.338 0.215 0.297
Rb 0.351 0.509 0.707
Ag 0.026 0.746 0.230
Ag 0.663 0.978 0.773
Hg 0.845 0.362 0.502
Hg 0.185 0.956 0.815
Hg 0.505 0.768 0.188
Hg 0.845 0.862 0.502
Hg 0.841 0.162 0.009
Hg 0.848 0.562 0.994
```

Record 11
VASP calculation (PBE) on crystalline SmZnGa3Au at its relaxed geometry. Values from VASP.

DFT formation energy (kJ per mole of atoms): -20.3
E (eV/f.u.): -19.6

Geometry as Quantum ESPRESSO input:
```
&SYSTEM
  ibrav = 0, nat = 12, ntyp = 4
/
ATOMIC_SPECIES
Sm 150.36 Sm.upf
Zn 65.41 Zn.upf
Ga 69.72 Ga.upf
Au 196.97 Au.upf
CELL_PARAMETERS angstrom
5.858 0.000 0.000
0.000 5.678 0.000
0.000 -2.839 8.285
ATOMIC_POSITIONS crystal
Sm 0.750 0.327 0.654
Sm 0.250 0.673 0.346
Zn 0.250 0.096 0.191
Zn 0.750 0.904 0.809
Ga 0.250 0.244 0.488
Ga 0.000 0.255 0.000
Ga 0.500 0.745 0.000
Ga 0.500 0.255 0.000
Ga 0.000 0.745 0.000
Ga 0.750 0.756 0.512
Au 0.250 0.394 0.788
Au 0.750 0.606 0.212
```

Record 12
VASP calculation (PBE) on crystalline CsCaI3 at its relaxed geometry. Values from VASP.

E (eV/f.u.): -15.2
E_form (uncorrected) (eV/atom): -1.538

Geometry as Quantum ESPRESSO input:
```
&SYSTEM
  ibrav = 0, nat = 20, ntyp = 3
/
ATOMIC_SPECIES
Cs 132.91 Cs.upf
I 126.90 I.upf
Ca 40.08 Ca.upf
CELL_PARAMETERS angstrom
5.405 2.586 9.849
1.213 11.012 3.190
-5.989 4.100 8.957
ATOMIC_POSITIONS crystal
Cs 0.625 0.625 0.625
Cs 0.625 0.125 0.625
Cs 0.125 0.625 0.625
Cs 0.625 0.625 0.125
I 0.795 0.205 0.205
I 0.045 0.455 0.455
I 0.455 0.455 0.045
I 0.455 0.045 0.045
I 0.045 0.455 0.045
I 0.795 0.205 0.795
I 0.455 0.045 0.455
I 0.045 0.045 0.455
I 0.205 0.795 0.205
I 0.205 0.795 0.795
I 0.205 0.205 0.795
I 0.795 0.795 0.205
Ca 0.125 0.125 0.125
Ca 0.125 0.625 0.125
Ca 0.625 0.125 0.125
Ca 0.125 0.125 0.625
```

Which value of E does entry 11 give? -19.6 eV/f.u.